Entry from Alexandria: a relaxed TlTcSe2 crystal (PBE-GGA).

Output
The raw formation energy comes out at -258 meV per atom. Its energy is -41.5 eV/cell.

Cell: 4.5331 7.6493 8.1000 Å, 75.64 84.81 76.01°
Closest atoms and distances in Å follow each position.
Space group P1 (No. 1)
One atom of each set of equivalent atoms:
Tl (0.0000, 0.0000, 0.0000)  6 Se 3.13-3.48
Tl (0.2036, 0.4967, 0.7649)  4 Se 3.09-3.30
Tc (0.2626, 0.0625, 0.4162)  1 Tc 2.23, 3 Se 2.36-2.42
Tc (0.6869, 0.9601, 0.5645)  1 Tc 2.23, 3 Se 2.38-2.42
Se (0.0781, 0.7963, 0.3996)  2 Tc 2.41-2.42
Se (0.3943, 0.2202, 0.1408)  1 Tc 2.36
Se (0.5910, 0.7586, 0.8294)  1 Tc 2.38
Se (0.8709, 0.2257, 0.5829)  2 Tc 2.42


Entry from Alexandria: a relaxed TlTcSe crystal (PBE-GGA).

Output
The raw formation energy comes out at 620 meV per atom. Its energy is -57.4 eV/cell.

Cell: 6.4232 6.4232 6.4232 Å, 90.00 90.00 90.00°
Closest atoms and distances in Å follow each position.
Space group F-43m (No. 216)
One atom of each set of equivalent atoms:
Tl (0.0000, 0.0000, 0.0000)  4 Tc 2.78
Tc (0.2500, 0.2500, 0.7500)  4 Tl 2.78, 4 Se 2.78
Se (0.0000, 0.0000, 0.5000)  4 Tc 2.78


Entry from Alexandria: a relaxed TlTcSe2 crystal (PBE-GGA).

Output
The raw formation energy comes out at -65 meV per atom. Its energy is -79.8 eV/cell.

Cell: 7.2462 9.1294 6.5607 Å, 90.00 90.00 90.00°
Closest atoms and distances in Å follow each position.
Space group Ima2 (No. 46)
One atom of each set of equivalent atoms:
Tl (0.2500, 0.1958, 0.0000)  3 Se 3.15-3.24, 2 Tl 3.43
Tc (0.2500, 0.6448, 0.0696)  4 Se 2.37-2.39
Se (0.0000, 0.0000, 0.6947)  2 Tc 2.39
Se (0.2500, 0.6142, 0.7108)  2 Tc 2.37-2.39


Entry from Alexandria: a relaxed Tl4TcSe crystal (PBE-GGA).

Output
The raw formation energy comes out at 815 meV per atom. Its energy is -73.7 eV/cell.

Cell: 8.8201 8.8201 8.8201 Å, 90.00 90.00 90.00°
Closest atoms and distances in Å follow each position.
Space group F-43m (No. 216)
One atom of each set of equivalent atoms:
Tl (0.1250, 0.1250, 0.1250)  6 Tl 3.12
Tc (0.0000, 0.0000, 0.5000)  12 Tl 3.66, 4 Se 3.82
Se (0.2500, 0.2500, 0.7500)  12 Tl 3.66, 4 Tc 3.82


Entry from Alexandria: a relaxed TlTcSe2 crystal (PBE-GGA).

Output
The raw formation energy comes out at 299 meV per atom. Its energy is -55.5 eV/cell.

Cell: 3.9550 3.9550 20.1129 Å, 90.00 90.00 120.00°
Closest atoms and distances in Å follow each position.
Space group R3m (No. 160, hexagonal axes)
One atom of each set of equivalent atoms:
Tl (0.0000, 0.0000, 0.0000)  4 Se 2.85-3.06, 3 Tc 3.12
Tc (0.0000, 0.0000, 0.4391)  3 Se 2.47
Se (0.0000, 0.0000, 0.1523)  3 Tc 2.47
Se (0.0000, 0.0000, 0.5821)  3 Tl 2.85, 1 Tc 2.88, 3 Se 3.00


Entry from Alexandria: a relaxed TlTcSe crystal (PBE-GGA).

Output
The raw formation energy comes out at 87 meV per atom. Its energy is -31.9 eV/cell.

Cell: 3.1330 3.1330 13.2380 Å, 90.00 90.00 90.00°
Closest atoms and distances in Å follow each position.
Space group I4mm (No. 107)
One atom of each set of equivalent atoms:
Tl (0.0000, 0.0000, 0.0000)  4 Tl 3.13, 4 Tc 3.16, 1 Se 3.47
Tc (0.0000, 0.0000, 0.3295)  4 Se 2.52
Se (0.0000, 0.0000, 0.7381)  4 Tc 2.52


Entry from Alexandria: a relaxed Tl2TcWSe crystal (PBE-GGA).

Output
The raw formation energy comes out at 1339 meV per atom. Its energy is -24.8 eV/cell.

Cell: 5.5166 5.5166 4.7199 Å, 90.00 90.00 90.00°
Closest atoms and distances in Å follow each position.
Space group P4/mmm (No. 123)
One atom of each set of equivalent atoms:
Tl (0.0000, 0.5000, 0.0000)  2 W 2.76
Tc (0.0000, 0.0000, 0.5000)  8 Tl 3.63, 4 Se 3.90
W (0.5000, 0.5000, 0.0000)  2 Se 2.36
Se (0.5000, 0.5000, 0.5000)  2 W 2.36


Entry from Alexandria: a relaxed ZrTlTcSe2 crystal (PBE-GGA).

Output
The raw formation energy comes out at 1543 meV per atom. Its energy is -20.5 eV/cell.

Cell: 5.2879 5.2879 5.4674 Å, 90.00 90.00 90.00°
Closest atoms and distances in Å follow each position.
Space group P4/mmm (No. 123)
One atom of each set of equivalent atoms:
Zr (0.0000, 0.0000, 0.0000)  2 Tl 2.73
Tl (0.0000, 0.0000, 0.5000)  4 Se 2.64, 2 Zr 2.73
Tc (0.5000, 0.5000, 0.0000)  4 Zr 3.74, 8 Se 3.80
Se (0.0000, 0.5000, 0.5000)  2 Tl 2.64